## RbThUSe4 (PBE-GGA)

Data for RbThUSe4 after structural relaxation.

Properties
Raw formation energy in eV per atom: -1.36
Electronic total energy in eV for the cell shown: -172.61

Cell lengths 8.930, 9.054, 12.666 Å; angles 90.00, 90.00, 90.00 degrees
Space group Imma (No. 74)
One atom of each set of equivalent atoms:
Rb: 0.000 0.250 0.131
Th: 0.000 0.000 0.500
U: 0.250 0.250 0.750
Se: 0.000 0.043 0.730
Se: 0.211 0.250 0.518

***

## Rb3ThU2Se6 (PBE-GGA)

Data for Rb3ThU2Se6 after structural relaxation.

Properties
Raw formation energy in eV per atom: -1.32
Electronic total energy in eV for the cell shown: -139.19

Cell lengths 7.381, 12.785, 8.485 Å; angles 90.00, 106.85, 90.00 degrees
Space group C2/m (No. 12)
One atom of each set of equivalent atoms:
Rb: 0.000 0.000 0.000
Rb: 0.000 0.334 0.000
Th: 0.000 0.500 0.500
U: 0.000 0.167 0.500
Se: 0.232 0.000 0.702
Se: 0.235 0.332 0.702

***

## Rb3YTh2Se6 (PBE-GGA)

Data for Rb3YTh2Se6 after structural relaxation.

Properties
Raw formation energy in eV per atom: -1.59
Electronic total energy in eV for the cell shown: -128.35

Cell lengths 7.384, 12.789, 8.480 Å; angles 90.00, 106.87, 90.00 degrees
Space group C2/m (No. 12)
One atom of each set of equivalent atoms:
Rb: 0.000 0.000 0.000
Rb: 0.000 0.333 0.000
Y: 0.000 0.500 0.500
Th: 0.000 0.167 0.500
Se: 0.233 0.335 0.703
Se: 0.238 0.000 0.704

***

## Rb3YTh3Se8 (PBE-GGA)

Data for Rb3YTh3Se8 after structural relaxation.

Properties
Raw formation energy in eV per atom: -1.63
Electronic total energy in eV for the cell shown: -251.89

Cell lengths 8.4893, 8.4893, 24.7478 Å; angles 90.00, 90.00, 120.00 degrees
Space group R-3m (No. 166, hexagonal axes)
One atom of each set of equivalent atoms:
Rb: 0.0000 0.5000 0.0000
Y: 0.0000 0.0000 0.5000
Th: 0.0000 0.5000 0.5000
Se: 0.0000 0.0000 0.2358
Se: 0.0035 0.5018 0.2324

***

## Rb4YTh3Se8 (PBE-GGA)

Data for Rb4YTh3Se8 after structural relaxation.

Properties
Raw formation energy in eV per atom: -1.57
Electronic total energy in eV for the cell shown: -256.80

Cell lengths 8.5224, 8.5224, 24.4240 Å; angles 90.00, 90.00, 120.00 degrees
Space group R-3m (No. 166, hexagonal axes)
One atom of each set of equivalent atoms:
Rb: 0.0000 0.0000 0.0000
Rb: 0.0000 0.5000 0.0000
Y: 0.0000 0.0000 0.5000
Th: 0.0000 0.5000 0.5000
Se: 0.0000 0.0000 0.2363
Se: 0.0045 0.5022 0.2344

***

## Rb3Th3ZnSe8 (PBE-GGA)

Data for Rb3Th3ZnSe8 after structural relaxation.

Properties
Raw formation energy in eV per atom: -1.42
Electronic total energy in eV for the cell shown: -151.11

Cell lengths 14.856, 8.585, 9.503 Å; angles 90.00, 121.39, 90.00 degrees
Space group C2/m (No. 12)
One atom of each set of equivalent atoms:
Rb: 0.000 0.000 0.000
Rb: 0.250 0.250 0.000
Th: 0.000 0.500 0.500
Th: 0.250 0.250 0.500
Zn: 0.000 0.000 0.500
Se: 0.020 0.246 0.314
Se: 0.225 0.000 0.685
Se: 0.235 0.500 0.706

***

## RbTiSe3 (PBE-GGA)

Data for RbTiSe3 after structural relaxation.

Properties
Raw formation energy in eV per atom: -0.92
E above lowest polymorph in eV per atom: 0.100
Electronic total energy in eV for the cell shown: -23.93

Cell lengths 5.086, 5.086, 5.086 Å; angles 90.00, 90.00, 90.00 degrees
Space group Pm-3m (No. 221)
One atom of each set of equivalent atoms:
Rb: 0.000 0.000 0.000
Ti: 0.500 0.500 0.500
Se: 0.000 0.500 0.500

***

## RbTi4Se8 (PBE-GGA)

Data for RbTi4Se8 after structural relaxation.

Properties
Raw formation energy in eV per atom: -0.92
E above lowest polymorph in eV per atom: 0.212
Electronic total energy in eV for the cell shown: -289.72

Cell lengths 11.151, 11.151, 11.151 Å; angles 90.00, 90.00, 90.00 degrees
Space group F-43m (No. 216)
One atom of each set of equivalent atoms:
Rb: 0.000 0.000 0.000
Ti: 0.118 0.118 0.618
Se: 0.116 0.116 0.384
Se: 0.149 0.149 0.851

***

## RbTiSe3 (PBE-GGA)

Data for RbTiSe3 after structural relaxation.

Properties
Raw formation energy in eV per atom: 1.16
E above lowest polymorph in eV per atom: 2.186
Electronic total energy in eV for the cell shown: -13.50

Cell lengths 5.604, 5.604, 5.604 Å; angles 90.00, 90.00, 90.00 degrees
Space group Pm-3m (No. 221)
One atom of each set of equivalent atoms:
Rb: 0.000 0.000 0.000
Ti: 0.500 0.500 0.500
Se: 0.000 0.000 0.500

***

## RbTi3Se (PBE-GGA)

Data for RbTi3Se after structural relaxation.

Properties
Raw formation energy in eV per atom: 0.59
E above lowest polymorph in eV per atom: 0.000
Electronic total energy in eV for the cell shown: -25.17

Cell lengths 4.946, 4.946, 4.946 Å; angles 90.00, 90.00, 90.00 degrees
Space group Pm-3m (No. 221)
One atom of each set of equivalent atoms:
Rb: 0.000 0.000 0.000
Ti: 0.000 0.500 0.500
Se: 0.500 0.500 0.500

***

## Rb2Ti3Se6 (PBE-GGA)

Data for Rb2Ti3Se6 after structural relaxation.

Properties
Raw formation energy in eV per atom: -1.21
Electronic total energy in eV for the cell shown: -119.62

Cell lengths 6.418, 11.117, 8.523 Å; angles 90.00, 104.56, 90.00 degrees
Space group C2/m (No. 12)
One atom of each set of equivalent atoms:
Rb: 0.000 0.167 0.000
Ti: 0.000 0.000 0.500
Ti: 0.000 0.332 0.500
Se: 0.224 0.500 0.682
Se: 0.229 0.165 0.682

***

## Rb8TiSe6 (PBE-GGA)

Data for Rb8TiSe6 after structural relaxation.

Properties
Raw formation energy in eV per atom: -1.13
Electronic total energy in eV for the cell shown: -107.06

Cell lengths 9.772, 8.969, 14.143 Å; angles 90.00, 90.00, 90.00 degrees
Space group Pmn2_1 (No. 31)
One atom of each set of equivalent atoms:
Rb: 0.000 0.026 0.072
Rb: 0.000 0.135 0.618
Rb: 0.197 0.484 0.764
Rb: 0.228 0.668 0.500
Rb: 0.231 0.927 0.819
Ti: 0.000 0.639 0.127
Se: 0.000 0.202 0.859
Se: 0.000 0.377 0.170
Se: 0.000 0.766 0.667
Se: 0.000 0.782 0.273
Se: 0.202 0.702 0.036